## ZnCdRe2Sb4 (PBE)

Data for ZnCdRe2Sb4 after structural relaxation.

Raw total energy ... -38.1 eV per formula unit
Magnetic moment ... 0.0 Bohr magnetons per cell
SG ... No. 82

abc: 7.545 7.545 7.545
angles: 131.03 131.03 71.77
Fractional positions:
1 Zn 0.000 0.000 0.000
2 Cd 0.750 0.250 0.500
3 Re 0.250 0.750 0.500
4 Re 0.500 0.500 0.000
5 Sb 0.165 0.644 0.047
6 Sb 0.356 0.402 0.521
7 Sb 0.598 0.119 0.953
8 Sb 0.881 0.835 0.479


## SmMoPb (PBE)

Data for SmMoPb after structural relaxation.

Magnetic moment ... 3.8 Bohr magnetons per cell
E above lowest polymorph ... 427 meV/atom
SG ... No. 216

abc: 5.076 5.076 5.076
angles: 60.00 60.00 60.00
Fractional positions:
1 Sm 0.000 0.000 0.000
2 Mo 0.750 0.750 0.750
3 Pb 0.250 0.250 0.250


## Zr2Al3 (PBE)

Data for Zr2Al3 after structural relaxation.

Raw total energy ... -30.7 eV per formula unit
Magnetic moment ... 0.0 Bohr magnetons per cell
SG ... No. 83

abc: 6.677 6.677 4.198
angles: 90.00 90.00 90.00
Fractional positions:
1 Zr 0.125 0.695 0.000
2 Zr 0.305 0.125 0.000
3 Zr 0.695 0.875 0.000
4 Zr 0.875 0.305 0.000
5 Al 0.000 0.000 0.500
6 Al 0.193 0.400 0.500
7 Al 0.400 0.807 0.500
8 Al 0.500 0.500 0.000
9 Al 0.600 0.193 0.500
10 Al 0.807 0.600 0.500


## GaAg7 (PBE)

Data for GaAg7 after structural relaxation.

E above lowest polymorph ... 69 meV/atom
SG ... No. 59

abc: 2.901 4.160 37.392
angles: 90.00 90.00 90.00
Fractional positions:
1 Ga 0.250 0.250 0.206
2 Ga 0.750 0.750 0.794
3 Ag 0.250 0.250 0.283
4 Ag 0.250 0.250 0.362
5 Ag 0.250 0.250 0.441
6 Ag 0.250 0.250 0.520
7 Ag 0.250 0.250 0.599
8 Ag 0.250 0.250 0.678
9 Ag 0.250 0.250 0.759
10 Ag 0.750 0.750 0.241
11 Ag 0.750 0.750 0.322
12 Ag 0.750 0.750 0.401
13 Ag 0.750 0.750 0.480
14 Ag 0.750 0.750 0.559
15 Ag 0.750 0.750 0.638
16 Ag 0.750 0.750 0.717